# TbDyEr2

A geometry-optimized TbDyEr2 structure (PBE, Alexandria via LeMat-Bulk). Values from VASP.

## Properties
* energy of formation from the pure elements: 0.022 eV/atom
* Fermi-level density of states: 5.83 states/eV per cell

```
&SYSTEM
  ibrav = 0, nat = 4, ntyp = 3
/
ATOMIC_SPECIES
Tb 158.93 Tb.upf
Dy 162.50 Dy.upf
Er 167.26 Er.upf
CELL_PARAMETERS angstrom
4.984 0.000 0.000
0.000 4.984 0.000
0.000 0.000 4.974
ATOMIC_POSITIONS angstrom
Tb 0.000 0.000 0.000
Dy 2.492 2.492 0.000
Er 0.000 2.492 2.487
Er 2.492 0.000 2.487
```